1.
Pu2Co5Ge3: optimized geometry, GGA-PBE.

a b c (Å): 13.567 13.567 5.014
angles (deg): 90.00 90.00 162.46
Fractional coordinates of all 20 atoms:
1 Pu 0.002 0.998 0.500
2 Pu 0.332 0.668 0.946
3 Pu 0.668 0.332 0.446
4 Pu 0.998 0.002 0.000
5 Co 0.109 0.891 0.250
6 Co 0.193 0.807 0.697
7 Co 0.196 0.804 0.159
8 Co 0.358 0.642 0.479
9 Co 0.443 0.557 0.246
10 Co 0.557 0.443 0.746
11 Co 0.642 0.358 0.979
12 Co 0.804 0.196 0.659
13 Co 0.807 0.193 0.197
14 Co 0.891 0.109 0.750
15 Ge 0.104 0.896 0.754
16 Ge 0.267 0.733 0.437
17 Ge 0.441 0.559 0.743
18 Ge 0.559 0.441 0.243
19 Ge 0.733 0.267 0.937
20 Ge 0.896 0.104 0.254

Its formation energy is 0.036 eV/atom. The value obtained for the energy above the most stable polymorph in this dataset is 293 kJ/mol of formula units. The value obtained for the energy is -7.7685 eV/atom.

2.
BeTcTe2: optimized geometry, GGA-PBE.

a b c (Å): 4.051 3.895 9.514
angles (deg): 90.00 90.00 90.00
Fractional coordinates of all 8 atoms:
1 Be 0.000 0.000 0.000
2 Be 0.000 0.500 0.500
3 Tc 0.500 0.000 0.140
4 Tc 0.500 0.500 0.640
5 Te 0.000 0.000 0.724
6 Te 0.000 0.500 0.224
7 Te 0.500 0.000 0.435
8 Te 0.500 0.500 0.935

The value obtained for the energy is -4.8908 eV/atom. The value obtained for the formation energy (no corrections) is 4.68 kcal/mol of atoms.

3.
ZnNi8P2: optimized geometry, GGA-PBE.

a b c (Å): 4.362 4.998 6.442
angles (deg): 109.52 103.14 99.56
Fractional coordinates of all 11 atoms:
1 Zn 0.000 0.000 0.000
2 Ni 0.145 0.890 0.358
3 Ni 0.203 0.419 0.382
4 Ni 0.251 0.579 0.970
5 Ni 0.390 0.897 0.763
6 Ni 0.610 0.103 0.237
7 Ni 0.749 0.421 0.030
8 Ni 0.797 0.581 0.618
9 Ni 0.855 0.110 0.642
10 P 0.397 0.304 0.682
11 P 0.603 0.696 0.318

Its formation energy is -0.332 eV/atom. The value obtained for the energy is -5.6358 eV/atom.